# TbErTm2Se4 (PBE-GGA, optimized geometry)
# - total moment (μB per atom) = 0.00
# - DOS at the Fermi energy (states/eV/atom) = 0.575
# - calculated density (g/cm³) = 8.72
# - electronic total energy (eV per atom) = -5.7030
data_TbErTm2Se4
_cell_length_a 7.022
_cell_length_b 3.984
_cell_length_c 7.044
_cell_angle_alpha 90.00
_cell_angle_beta 108.75
_cell_angle_gamma 90.00
_symmetry_space_group_name_H-M 'P 1 2/m 1'
_symmetry_Int_Tables_number 10
_symmetry_space_group_name_Hall '-P 2y'
loop_
_atom_site_label
_atom_site_fract_x
_atom_site_fract_y
_atom_site_fract_z
Tb1 0.000 0.000 0.000
Er1 0.000 0.500 0.500
Tm1 0.500 0.000 0.500
Tm2 0.500 0.500 0.000
Se1 0.254 0.000 0.749
Se2 0.256 0.500 0.254